PBE-GGA Ac3La2Nd2, optimized geometry; energy relative to the elements = 0.030 eV per atom; E above lowest polymorph = 0.00 eV per formula unit; total magnetization = 0.00 μB per formula unit
1.0
2.876 -12.760 0.000
2.876 12.760 0.000
0.000 0.000 3.794
Ac La Nd
3 2 2
direct
0.000 0.000 0.000
0.152 0.848 0.000
0.848 0.152 0.000
0.427 0.573 0.500
0.573 0.427 0.500
0.285 0.715 0.500
0.715 0.285 0.500

PBE-GGA Ba8As3AuCl4, optimized geometry; final energy = -4.063 eV/atom; total magnetization = 1.83 μB per formula unit
1.0
4.740 2.737 7.719
-4.740 2.737 7.719
0.000 -5.473 7.719
Ba As Au Cl
8 3 1 4
direct
0.239 0.747 0.747
0.243 0.243 0.243
0.253 0.253 0.761
0.253 0.761 0.253
0.747 0.239 0.747
0.747 0.747 0.239
0.757 0.757 0.757
0.761 0.253 0.253
0.000 0.000 0.500
0.000 0.500 0.000
0.500 0.000 0.000
0.500 0.500 0.500
0.000 0.000 0.000
0.000 0.500 0.500
0.500 0.000 0.500
0.500 0.500 0.000

PBE-GGA PrDyBi2, optimized geometry; energy relative to the elements = -0.647 eV per atom; E above lowest polymorph = 1.04 eV per formula unit; total magnetization = 0.01 μB per formula unit
1.0
3.850 0.000 0.000
0.000 3.850 0.000
0.000 0.000 8.276
Pr Dy Bi
1 1 2
direct
0.000 0.000 0.000
0.000 0.000 0.500
0.500 0.500 0.261
0.500 0.500 0.739

PBE-GGA ZnRe2Pt, optimized geometry; energy relative to the elements = -0.055 eV per atom; total magnetization = 0.00 μB per formula unit
1.0
2.816 0.000 0.000
0.000 2.816 0.000
0.000 0.000 7.532
Zn Re Pt
1 2 1
direct
0.000 0.000 0.000
0.000 0.000 0.511
0.500 0.500 0.744
0.500 0.500 0.245

- total magnetization of number 1 (Ac3La2Nd2)?
  0.00 μB per formula unit

- Look up the total magnetization of the third one.
  0.01 μB per formula unit

- Look up the total magnetization of the first one.
  0.00 μB per formula unit